[1]
Computed, not measured: Fe2CuPt at its PBEsol-relaxed geometry at the meta-GGA SCAN level of DFT.

Structure (POSCAR):
```
Fe2CuPt
1.0
2.612 0.000 0.000
0.000 3.718 0.000
0.000 0.000 5.110
Fe Cu Pt
2 1 1
Direct
0.000 0.000 0.242
0.000 0.000 0.758
0.500 0.500 0.000
0.500 0.500 0.500
```

- E_tot: -122.50 eV/f.u.
- DFT formation energy: -0.21 eV/atom
- Symmetry: Pmmm (47)
- Crystal system: orthorhombic


[2]
Computed, not measured: FeCuPt at its PBEsol-relaxed geometry at the meta-GGA SCAN level of DFT.

Structure (POSCAR):
```
FeCuPt
1.0
2.666 0.000 0.000
0.000 3.661 0.000
0.000 0.000 7.822
Fe Cu Pt
2 2 2
Direct
0.000 0.000 0.000
0.500 0.500 0.500
0.000 0.000 0.663
0.500 0.500 0.163
0.000 0.000 0.333
0.500 0.500 0.833
```

- E_tot: -104.35 eV/f.u.
- DFT formation energy: -0.28 eV/atom
- Symmetry: Imm2 (44)
- Energy above the lowest structure with this stoichiometry: 0.000 eV/atom
- Crystal system: orthorhombic


[3]
Computed, not measured: Fe2CuPt at its PBEsol-relaxed geometry at the meta-GGA SCAN level of DFT.

Structure (POSCAR):
```
Fe2CuPt
1.0
2.894 0.000 0.000
0.000 2.894 0.000
0.000 0.000 5.883
Fe Cu Pt
2 1 1
Direct
0.000 0.000 0.000
0.500 0.500 0.225
0.500 0.500 0.768
0.000 0.000 0.495
```

- E_tot: -122.26 eV/f.u.
- DFT formation energy: -0.15 eV/atom
- Symmetry: P4mm (99)
- Crystal system: tetragonal


[4]
Computed, not measured: Fe2CuPt at its PBEsol-relaxed geometry at the meta-GGA SCAN level of DFT.

Structure (POSCAR):
```
Fe2CuPt
1.0
2.609 0.000 0.000
0.000 4.184 0.000
0.000 0.000 4.529
Fe Cu Pt
2 1 1
Direct
0.000 0.000 0.000
0.000 0.500 0.321
0.500 0.000 0.483
0.500 0.500 0.819
```

- E_tot: -122.36 eV/f.u.
- DFT formation energy: -0.18 eV/atom
- Symmetry: Pmm2 (25)
- Crystal system: orthorhombic